Record 1
This record from Alexandria via LeMat-Bulk describes a relaxed CeScSi2 crystal. The functional is PBE.

extended XYZ file:
```
4
Lattice="3.600 0.000 0.000 0.000 3.600 0.000 0.000 0.000 6.217" Properties=species:S:1:pos:R:3 pbc="T T T"
Ce 0.000 0.000 0.000
Sc 0.000 0.000 3.108
Si 1.800 1.800 1.874
Si 1.800 1.800 4.343
```

Total DFT energy (no corrections) = -25.33 eV/cell
Relative energy among the computed polymorphs = 0.133 eV per atom
SG = No. 123
Energy relative to the elements, uncorrected = -0.554 eV/atom

***

Record 2
This record from Alexandria via LeMat-Bulk describes a relaxed NdMgSnPb crystal. The functional is PBE.

extended XYZ file:
```
4
Lattice="0.000 3.818 3.818 3.818 0.000 3.818 3.818 3.818 0.000" Properties=species:S:1:pos:R:3 pbc="T T T"
Nd 0.000 0.000 0.000
Mg 3.818 3.818 3.818
Sn 1.909 1.909 1.909
Pb 5.727 5.727 5.727
```

Total DFT energy (no corrections) = -15.22 eV/cell
Relative energy among the computed polymorphs = 0.174 eV per atom
SG = No. 216
Energy relative to the elements = -0.29 eV/atom

***

Record 3
This record from Alexandria via LeMat-Bulk describes a relaxed ZrBe2As crystal. The functional is PBE.

extended XYZ file:
```
4
Lattice="1.992 -2.495 0.000 1.992 2.495 0.000 0.000 0.000 5.903" Properties=species:S:1:pos:R:3 pbc="T T T"
Zr 0.000 0.000 0.000
Be 0.000 0.000 2.733
Be 1.992 0.000 1.758
As 1.992 0.000 4.036
```

Total DFT energy (no corrections) = -20.82 eV/cell
SG = No. 35
Energy relative to the elements = -0.04 eV/atom